VASP calculation (PBE) on an optimized crystal structure of Mg2CoTc.

## Properties
Distance to the lowest polymorph of the same formula   0.70 eV per formula unit
Energy of formation from the pure elements   0.250 eV per atom

Geometry as POSCAR:
```
Mg2CoTc
1.0
-2.7731 3.1968 -1.1957
-2.5127 -0.4922 -3.5753
-4.3385 -0.5800 0.4244
Co Mg Tc
1 2 1
direct
0.5000 0.5000 0.5000
0.0000 0.0000 0.0000
0.2500 0.2500 0.2500
0.7500 0.7500 0.7500
```